# 1
Below is a relaxed structure of Ir4AuCl, with properties calculated at the PBE-GGA level.

abc: 5.295 5.295 5.295
angles: 60.00 60.00 60.00
Element x y z (fractional)
Cl: 0.000 0.000 0.000
Ir: 0.375 0.375 0.875
Ir: 0.875 0.375 0.375
Ir: 0.375 0.375 0.375
Ir: 0.375 0.875 0.375
Au: 0.750 0.750 0.750

Results
crystal system	cubic
energy relative to the elements, uncorrected	103.9	kJ/mol of atoms

***

# 2
Below is a relaxed structure of Ti2SbW, with properties calculated at the PBE-GGA level.

abc: 3.631 4.356 4.356
angles: 90.00 90.00 90.00
Element x y z (fractional)
Ti: 0.000 0.500 0.000
Ti: 0.000 0.000 0.500
W: 0.500 0.500 0.500
Sb: 0.500 0.000 0.000

Results
crystal system	tetragonal
energy relative to the elements, uncorrected	-17.9	kJ/mol of atoms

***

# 3
Below is a relaxed structure of Sm4AgSb2, with properties calculated at the PBE-GGA level.

abc: 4.309 7.570 8.219
angles: 116.79 105.20 90.00
Element x y z (fractional)
Sm: 0.619 0.314 0.237
Sm: 0.381 0.686 0.763
Sm: 0.119 0.768 0.238
Sm: 0.881 0.232 0.762
Ag: 0.000 0.000 0.000
Sb: 0.759 0.766 0.519
Sb: 0.241 0.234 0.481

Results
crystal system	monoclinic
energy relative to the elements, uncorrected	-53.3	kJ/mol of atoms

***

# 4
Below is a relaxed structure of LaCo2Te, with properties calculated at the PBE-GGA level.

abc: 4.913 4.913 4.913
angles: 60.00 60.00 60.00
Element x y z (fractional)
Co: 0.250 0.250 0.250
Co: 0.000 0.000 0.000
La: 0.500 0.500 0.500
Te: 0.750 0.750 0.750

Results
crystal system	cubic
energy relative to the elements, uncorrected	27.3	kJ/mol of atoms

***

# 5
Below is a relaxed structure of La3Pr4Sm2, with properties calculated at the PBE-GGA level.

abc: 3.689 3.689 27.775
angles: 90.00 90.00 120.00
Element x y z (fractional)
Sm: 0.667 0.333 0.872
Sm: 0.667 0.333 0.089
Pr: 0.667 0.333 0.213
Pr: 0.000 0.000 0.767
Pr: 0.667 0.333 0.434
Pr: 0.000 0.000 0.543
La: 0.000 0.000 0.320
La: 0.667 0.333 0.654
La: 0.000 0.000 0.985

Results
crystal system	trigonal
E_form	0.06	eV/atom
offset from the most stable computed form	0	meV per atom

***

# 6
Below is a relaxed structure of Th6TcRh2Se3, with properties calculated at the PBE-GGA level.

abc: 4.112 8.771 9.685
angles: 108.11 102.26 90.00
Element x y z (fractional)
Th: 0.006 0.227 0.012
Th: 0.994 0.773 0.988
Th: 0.344 0.902 0.687
Th: 0.656 0.098 0.313
Th: 0.327 0.435 0.654
Th: 0.673 0.565 0.346
Se: 0.167 0.832 0.334
Se: 0.500 0.500 0.000
Se: 0.833 0.168 0.666
Tc: 0.500 0.000 0.000
Rh: 0.832 0.664 0.663
Rh: 0.168 0.336 0.337

Results
crystal system	monoclinic
energy relative to the elements, uncorrected	-105.6	kJ/mol of atoms

***

# 7
Below is a relaxed structure of ZnCo2Mo, with properties calculated at the PBE-GGA level.

abc: 4.095 2.554 4.985
angles: 81.62 90.00 90.00
Element x y z (fractional)
Co: 0.000 0.004 0.999
Co: 0.000 0.496 0.501
Zn: 0.500 0.750 0.750
Mo: 0.500 0.250 0.250

Results
crystal system	monoclinic
E_form	0.17	eV/atom

***

# 8
Below is a relaxed structure of BeMoPt2, with properties calculated at the PBE-GGA level.

abc: 2.779 4.610 4.528
angles: 90.00 90.00 90.00
Element x y z (fractional)
Pt: 0.000 0.000 0.000
Pt: 0.500 0.500 0.000
Mo: 0.000 0.500 0.500
Be: 0.500 0.000 0.500

Results
crystal system	orthorhombic
E_form	0.03	eV/atom

***

# 9
Below is a relaxed structure of BeCu2Mo, with properties calculated at the PBE-GGA level.

abc: 8.481 8.481 8.481
angles: 17.76 17.76 17.76
Element x y z (fractional)
Cu: 0.491 0.491 0.491
Cu: 0.009 0.009 0.009
Mo: 0.250 0.250 0.250
Be: 0.750 0.750 0.750

Results
crystal system	trigonal
E_form	0.23	eV/atom

***

# 10
Below is a relaxed structure of TlAg2Au, with properties calculated at the PBE-GGA level.

abc: 5.347 5.347 5.347
angles: 133.14 133.14 68.43
Element x y z (fractional)
Ag: 0.250 0.750 0.500
Ag: 0.000 0.000 0.000
Au: 0.500 0.500 0.000
Tl: 0.750 0.250 0.500

Results
crystal system	tetragonal
E_form	0.06	eV/atom
offset from the most stable computed form	0	meV per atom

***

# 11
Below is a relaxed structure of PmPr2Te4, with properties calculated at the PBE-GGA level.

abc: 4.505 7.903 8.789
angles: 117.55 104.85 90.00
Element x y z (fractional)
Pr: 0.261 0.250 0.521
Pr: 0.739 0.750 0.479
Te: 0.120 0.796 0.240
Te: 0.880 0.204 0.760
Te: 0.371 0.718 0.741
Te: 0.629 0.282 0.259
Pm: 0.000 0.000 0.000

Results
crystal system	monoclinic
offset from the most stable computed form	0	meV per atom
energy relative to the elements, uncorrected	-136.7	kJ/mol of atoms

***

# 12
Below is a relaxed structure of TlGaAs2Br, with properties calculated at the PBE-GGA level.

abc: 5.340 5.340 6.088
angles: 90.00 90.00 90.00
Element x y z (fractional)
Tl: 0.000 0.000 0.000
Ga: 0.500 0.500 0.500
Br: 0.000 0.000 0.500
As: 0.000 0.500 0.000
As: 0.500 0.000 0.000

Results
crystal system	tetragonal
offset from the most stable computed form	428	meV per atom
energy relative to the elements, uncorrected	60.0	kJ/mol of atoms

***

Number 1: D(E_F) 1.5819 states/eV per atom, calculated total energy -5.684 eV/atom. Number 2: D(E_F) 1.0610 states/eV per atom, calculated total energy -8.402 eV/atom. Number 3: D(E_F) 1.1547 states/eV per atom, calculated total energy -4.834 eV/atom. Number 4: D(E_F) 2.1672 states/eV per atom, calculated total energy -5.287 eV/atom. Number 5: D(E_F) 1.7382 states/eV per atom, calculated total energy -4.752 eV/atom. Number 6: D(E_F) 0.5722 states/eV per atom, calculated total energy -7.765 eV/atom. Number 7: D(E_F) 1.2173 states/eV per atom, calculated total energy -6.410 eV/atom. Number 8: D(E_F) 0.9972 states/eV per atom, calculated total energy -6.630 eV/atom. Number 9: D(E_F) 0.6189 states/eV per atom, calculated total energy -5.460 eV/atom. Number 10: D(E_F) 0.1667 states/eV per atom, calculated total energy -2.779 eV/atom. Number 11: D(E_F) 0.4843 states/eV per atom, calculated total energy -5.256 eV/atom. Number 12: D(E_F) 0.5659 states/eV per atom, calculated total energy -2.651 eV/atom.